## i
Entry from the Alexandria database: crystalline Sb2SF2 at its relaxed geometry (PBE).

abc: 4.717 4.717 8.405
angles: 90.00 90.00 90.00
Fractional coordinates of all 10 atoms:
1 Sb 0.000 0.500 0.250
2 Sb 0.000 0.500 0.750
3 Sb 0.500 0.000 0.250
4 Sb 0.500 0.000 0.750
5 S 0.000 0.000 0.000
6 S 0.500 0.500 0.500
7 F 0.000 0.000 0.350
8 F 0.000 0.000 0.650
9 F 0.500 0.500 0.150
10 F 0.500 0.500 0.850

Output
Density ... 5.57 g/cm3
Spin magnetization ... 0.00 Bohr magnetons per cell

=====

## ii
Entry from the Alexandria database: crystalline Sb2SF2 at its relaxed geometry (PBE).

abc: 7.893 7.893 2.910
angles: 90.00 90.00 90.00
Fractional coordinates of all 10 atoms:
1 Sb 0.210 0.290 0.000
2 Sb 0.290 0.790 0.000
3 Sb 0.710 0.210 0.000
4 Sb 0.790 0.710 0.000
5 S 0.000 0.000 0.500
6 S 0.500 0.500 0.500
7 F 0.120 0.620 0.500
8 F 0.380 0.120 0.500
9 F 0.620 0.880 0.500
10 F 0.880 0.380 0.500

Output
Density ... 5.74 g/cm3
Spin magnetization ... 0.00 Bohr magnetons per cell

=====

Here are the energies relative to the best structure, in meV per atom: i 13; ii 0.

=====

## i
Entry from the Alexandria database: crystalline Sb2SF at its relaxed geometry (PBE).

abc: 6.793 6.793 6.793
angles: 90.00 90.00 90.00
Fractional coordinates of all 16 atoms:
1 Sb 0.250 0.250 0.250
2 Sb 0.250 0.250 0.750
3 Sb 0.250 0.750 0.250
4 Sb 0.250 0.750 0.750
5 Sb 0.750 0.250 0.250
6 Sb 0.750 0.250 0.750
7 Sb 0.750 0.750 0.250
8 Sb 0.750 0.750 0.750
9 S 0.000 0.000 0.000
10 S 0.000 0.500 0.500
11 S 0.500 0.000 0.500
12 S 0.500 0.500 0.000
13 F 0.000 0.000 0.500
14 F 0.000 0.500 0.000
15 F 0.500 0.000 0.000
16 F 0.500 0.500 0.500

Output
Density ... 6.24 g/cm3
Spin magnetization ... 0.00 Bohr magnetons per cell

=====

## ii
Entry from the Alexandria database: crystalline Sb2SF at its relaxed geometry (PBE).

abc: 7.300 7.300 6.385
angles: 90.00 90.00 90.00
Fractional coordinates of all 16 atoms:
1 Sb 0.240 0.250 0.125
2 Sb 0.250 0.740 0.375
3 Sb 0.250 0.760 0.875
4 Sb 0.260 0.250 0.625
5 Sb 0.740 0.750 0.625
6 Sb 0.750 0.240 0.875
7 Sb 0.750 0.260 0.375
8 Sb 0.760 0.750 0.125
9 S 0.000 0.000 0.500
10 S 0.000 0.500 0.750
11 S 0.500 0.000 0.250
12 S 0.500 0.500 0.000
13 F 0.000 0.000 0.000
14 F 0.000 0.500 0.250
15 F 0.500 0.000 0.750
16 F 0.500 0.500 0.500

Output
Density ... 5.75 g/cm3
Spin magnetization ... 0.00 Bohr magnetons per cell

=====

Here are the energies relative to the best structure, in meV per atom: i 163; ii 0.